The following is a DFT calculation (PBE) of crystalline LiZr2Tl at its relaxed geometry.

POSCAR file:
```
LiZr2Tl
1.0
3.501 0.000 0.000
0.000 3.501 0.000
0.000 0.000 6.838
Li Zr Tl
1 2 1
direct
0.000 0.000 0.000 Li
0.500 0.500 0.229 Zr
0.500 0.500 0.771 Zr
0.000 0.000 0.500 Tl
```

Energy   -5.244 eV per atom